No. 1
## Li3Cr2 (PBE-GGA)

Data for an optimized crystal structure of Li3Cr2.

```
data_Li3Cr2
_cell_length_a 3.955
_cell_length_b 3.955
_cell_length_c 6.006
_cell_angle_alpha 90.00
_cell_angle_beta 90.00
_cell_angle_gamma 120.00
_symmetry_space_group_name_H-M 'P 1'
_symmetry_Int_Tables_number 1
_symmetry_space_group_name_Hall 'P 1'
loop_
_atom_site_label
_atom_site_type_symbol
_atom_site_fract_x
_atom_site_fract_y
_atom_site_fract_z
_atom_site_occupancy
Li1 Li 0.333 0.667 0.358 1
Li2 Li 0.667 0.333 0.642 1
Li3 Li 0.000 0.000 0.000 1
Cr1 Cr 0.667 0.333 0.077 1
Cr2 Cr 0.333 0.667 0.923 1
```

=====

No. 2
# LiCr | Alexandria | PBE-GGA | optimized geometry
data_LiCr
_cell_length_a 5.507
_cell_length_b 5.507
_cell_length_c 5.507
_cell_angle_alpha 38.50
_cell_angle_beta 38.50
_cell_angle_gamma 38.50
_symmetry_space_group_name_H-M 'P 1'
_symmetry_Int_Tables_number 1
_symmetry_space_group_name_Hall 'P 1'
loop_
_atom_site_label
_atom_site_type_symbol
_atom_site_fract_x
_atom_site_fract_y
_atom_site_fract_z
_atom_site_occupancy
Li1 Li 0.123 0.123 0.123 1
Cr1 Cr 0.665 0.665 0.665 1
Cr2 Cr 0.335 0.335 0.335 1
Li2 Li 0.877 0.877 0.877 1
# - E above lowest polymorph: 0.89 eV/f.u.

=====

No. 3
# LiCr | Alexandria | PBE-GGA | optimized geometry
data_LiCr
_cell_length_a 11.005
_cell_length_b 11.005
_cell_length_c 2.705
_cell_angle_alpha 90.00
_cell_angle_beta 90.00
_cell_angle_gamma 90.00
_symmetry_space_group_name_H-M 'P 1'
_symmetry_Int_Tables_number 1
_symmetry_space_group_name_Hall 'P 1'
loop_
_atom_site_label
_atom_site_type_symbol
_atom_site_fract_x
_atom_site_fract_y
_atom_site_fract_z
_atom_site_occupancy
Li1 Li 0.046 0.660 0.500 1
Li2 Li 0.160 0.454 0.000 1
Li3 Li 0.454 0.840 0.000 1
Cr1 Cr 0.771 0.185 0.500 1
Li4 Li 0.954 0.340 0.500 1
Cr2 Cr 0.229 0.815 0.500 1
Li5 Li 0.546 0.160 0.000 1
Cr3 Cr 0.185 0.229 0.500 1
Li6 Li 0.840 0.546 0.000 1
Cr4 Cr 0.315 0.271 0.000 1
Li7 Li 0.660 0.954 0.500 1
Cr5 Cr 0.271 0.685 0.000 1
Cr6 Cr 0.815 0.771 0.500 1
Li8 Li 0.340 0.046 0.500 1
Cr7 Cr 0.685 0.729 0.000 1
Cr8 Cr 0.729 0.315 0.000 1
# - E above lowest polymorph: 1.25 eV/f.u.

=====

No. 4
# LiCr5 | Alexandria | PBE-GGA | optimized geometry
data_LiCr5
_cell_length_a 4.708
_cell_length_b 4.708
_cell_length_c 4.708
_cell_angle_alpha 60.00
_cell_angle_beta 60.00
_cell_angle_gamma 60.00
_symmetry_space_group_name_H-M 'P 1'
_symmetry_Int_Tables_number 1
_symmetry_space_group_name_Hall 'P 1'
loop_
_atom_site_label
_atom_site_type_symbol
_atom_site_fract_x
_atom_site_fract_y
_atom_site_fract_z
_atom_site_occupancy
Cr1 Cr 0.250 0.250 0.250 1
Cr2 Cr 0.626 0.121 0.626 1
Cr3 Cr 0.626 0.626 0.121 1
Cr4 Cr 0.626 0.626 0.626 1
Li1 Li 0.000 0.000 0.000 1
Cr5 Cr 0.121 0.626 0.626 1
# - E above lowest polymorph: 0.61 eV/f.u.

=====

no.,Fermi-level density of states (states/eV per cell),energy of formation (meV/atom)
1,3.7,901
2,1.8,724
3,11.0,905
4,7.3,407